Below is crystalline Pa2CoPd at its relaxed geometry, with properties calculated at the PBE level.

Summary:
E: -8.1068 eV/atom
total magnetic moment: 0.00 Bohr magnetons per cell
formation energy: -0.284 eV/atom

CIF file:
```
data_Pa2CoPd
_chemical_formula_sum 'Pa2 Co1 Pd1'
_cell_length_a 3.425
_cell_length_b 3.425
_cell_length_c 6.705
_cell_angle_alpha 90.00
_cell_angle_beta 90.00
_cell_angle_gamma 90.00
_space_group_name_H-M_alt 'P 4/m m m'
_space_group_IT_number 123
_space_group_name_Hall '-P 4 2'
loop_
_atom_site_label
_atom_site_type_symbol
_atom_site_fract_x
_atom_site_fract_y
_atom_site_fract_z
Pa1 Pa 0.000 0.000 0.214
Co1 Co 0.500 0.500 0.000
Pd1 Pd 0.500 0.500 0.500
```

=====

Below is crystalline PaCoPd at its relaxed geometry, with properties calculated at the PBE level.

Summary:
E: -7.8059 eV/atom
total magnetic moment: 0.00 Bohr magnetons per cell
formation energy: -0.541 eV/atom
energy above the most stable polymorph in this dataset: 0.0 meV per atom

CIF file:
```
data_PaCoPd
_chemical_formula_sum 'Pa4 Co4 Pd4'
_cell_length_a 3.882
_cell_length_b 9.798
_cell_length_c 5.431
_cell_angle_alpha 90.00
_cell_angle_beta 90.00
_cell_angle_gamma 90.00
_space_group_name_H-M_alt 'C m c m'
_space_group_IT_number 63
_space_group_name_Hall '-C 2c 2'
loop_
_atom_site_label
_atom_site_type_symbol
_atom_site_fract_x
_atom_site_fract_y
_atom_site_fract_z
Pa1 Pa 0.000 0.183 0.250
Co1 Co 0.000 0.135 0.750
Pd1 Pd 0.000 0.500 0.000
```